Entry 1:
## CuPF2 (GGA-PBE)

Data for a relaxed structure of CuPF2.

abc: 4.0816 4.0816 4.0816
angles: 60.00 60.00 60.00
With the nearest neighbours (Å) after each atom.
Fractional positions:
Cu 0.0000 0.0000 0.0000  8 F 2.50
P 0.5000 0.5000 0.5000  8 F 2.50
F 0.2500 0.2500 0.2500  4 P 2.50, 4 Cu 2.50
F 0.7500 0.7500 0.7500  4 Cu 2.50, 4 P 2.50

## Properties
- raw total energy (eV/atom) = -3.525
- magnetization (μB per formula unit) = 0.000

***

Entry 2:
## CaTb5Sm8 (GGA-PBE)

Data for a relaxed structure of CaTb5Sm8.

abc: 8.5947 8.5947 8.5947
angles: 111.04 111.04 106.37
With the nearest neighbours (Å) after each atom.
Fractional positions:
Ca 0.0000 0.0000 0.0000  4 Sm 3.31
Tb 0.0295 0.4330 0.8156  8 Sm 3.39-3.62, 2 Tb 3.55
Tb 0.2500 0.7500 0.5000  8 Sm 3.17-3.40
Tb 0.5671 0.3826 0.5965  8 Sm 3.39-3.62, 2 Tb 3.55
Tb 0.6174 0.2139 0.1844  8 Sm 3.39-3.62, 2 Tb 3.55
Tb 0.7861 0.9705 0.4035  8 Sm 3.39-3.62, 2 Tb 3.55
Sm 0.0937 0.3314 0.4187  4 Tb 3.17-3.49, 1 Ca 3.31
Sm 0.2788 0.1749 0.7534  5 Tb 3.40-3.62, 3 Sm 3.62-3.68
Sm 0.3250 0.9063 0.2377  4 Tb 3.17-3.49, 1 Ca 3.31
Sm 0.4216 0.5254 0.2466  5 Tb 3.40-3.62, 3 Sm 3.62-3.68
Sm 0.4746 0.7212 0.8962  5 Tb 3.40-3.62, 3 Sm 3.62-3.68
Sm 0.6686 0.0873 0.7623  4 Tb 3.17-3.49, 1 Ca 3.31
Sm 0.8251 0.5784 0.1038  5 Tb 3.40-3.62, 3 Sm 3.62-3.68
Sm 0.9127 0.6750 0.5813  4 Tb 3.17-3.49, 1 Ca 3.31

## Properties
- raw total energy (eV/atom) = -4.254
- formation energy from the elements (meV/atom) = 239
- magnetization (μB per formula unit) = 0.000

***

Entry 3:
## Sc2Nb2Tl (GGA-PBE)

Data for a relaxed structure of Sc2Nb2Tl.

abc: 7.5035 7.5035 3.8565
angles: 90.00 90.00 90.00
With the nearest neighbours (Å) after each atom.
Fractional positions:
Sc 0.1710 0.3290 0.0000  6 Nb 2.91-2.95
Sc 0.3290 0.8290 0.0000  6 Nb 2.91-2.95
Sc 0.6710 0.1710 0.0000  6 Nb 2.91-2.95
Sc 0.8290 0.6710 0.0000  6 Nb 2.91-2.95
Nb 0.1235 0.6235 0.5000  1 Nb 2.62, 2 Sc 2.91
Nb 0.3765 0.1235 0.5000  1 Nb 2.62, 2 Sc 2.91
Nb 0.6235 0.8765 0.5000  1 Nb 2.62, 2 Sc 2.91
Nb 0.8765 0.3765 0.5000  1 Nb 2.62, 2 Sc 2.91
Tl 0.0000 0.0000 0.5000  4 Nb 2.97
Tl 0.5000 0.5000 0.5000  4 Nb 2.97

## Properties
- raw total energy (eV/atom) = -6.893
- formation energy from the elements (meV/atom) = 141
- magnetization (μB per formula unit) = 0.000

***

Entry 4:
## BeFeCu (GGA-PBE)

Data for a relaxed structure of BeFeCu.

abc: 2.4583 2.4583 5.9212
angles: 90.00 90.00 120.00
With the nearest neighbours (Å) after each atom.
Fractional positions:
Be 0.0000 0.0000 0.0000  3 Fe 2.32, 3 Cu 2.38, 6 Be 2.46
Fe 0.3333 0.6667 0.6897  3 Be 2.32, 6 Fe 2.46, 3 Cu 2.59
Cu 0.6667 0.3333 0.3231  3 Be 2.38, 6 Cu 2.46, 3 Fe 2.59

## Properties
- raw total energy (eV/atom) = -5.382
- formation energy from the elements (meV/atom) = 46
- magnetization (μB per formula unit) = 1.411

***

Q: What is the raw total energy in the third record?
A: -6.893 eV/atom